The following is a DFT calculation (PBE) of crystalline K2YTe at its relaxed geometry.

Values from the calculation:
Magnetic moment in μB per atom: 0.002
Formation energy without anion corrections in eV per formula unit: -0.85
Space group: No. 139

The structure in POSCAR format:
```
K2YTe
1.0
4.7103 0.0000 0.0000
0.0000 4.7103 0.0000
0.0000 0.0000 13.1909
K Y Te
4 2 2
Direct
0.0000 0.5000 0.2500
0.0000 0.5000 0.7500
0.5000 0.0000 0.2500
0.5000 0.0000 0.7500
0.0000 0.0000 0.0000
0.5000 0.5000 0.5000
0.0000 0.0000 0.5000
0.5000 0.5000 0.0000
```

The following is a DFT calculation (PBE) of crystalline BaTcHg2 at its relaxed geometry.

Values from the calculation:
Magnetic moment in μB per atom: 0.000
Space group: No. 8
Energy above the most stable polymorph in this dataset in eV per atom: 0.0704

The structure in POSCAR format:
```
BaTcHg2
1.0
12.0846 0.0000 0.0000
0.0000 4.0167 0.0000
-3.4394 0.0000 9.2478
Ba Tc Hg
4 4 8
Direct
0.0000 0.0000 0.0000
0.0448 0.0000 0.4473
0.5000 0.5000 0.0000
0.5448 0.5000 0.4473
0.2204 0.5000 0.9666
0.2206 0.0000 0.8367
0.7204 0.0000 0.9666
0.7206 0.5000 0.8367
0.0130 0.5000 0.7201
0.2048 0.5000 0.2799
0.2957 0.5000 0.6368
0.3518 0.0000 0.1745
0.5130 0.0000 0.7201
0.7048 0.0000 0.2799
0.7957 0.0000 0.6368
0.8518 0.5000 0.1745
```

The following is a DFT calculation (PBE) of crystalline Sc3TcB at its relaxed geometry.

Values from the calculation:
Magnetic moment in μB per atom: 0.000
Space group: No. 221
Energy above the most stable polymorph in this dataset in eV per atom: 0.7249

The structure in POSCAR format:
```
Sc3TcB
1.0
4.9055 0.0000 0.0000
0.0000 4.9055 0.0000
0.0000 0.0000 4.9055
Sc Tc B
3 1 1
Direct
0.0000 0.0000 0.5000
0.0000 0.5000 0.0000
0.5000 0.0000 0.0000
0.0000 0.0000 0.0000
0.5000 0.5000 0.5000
```

The following is a DFT calculation (PBE) of crystalline TcGeRu at its relaxed geometry.

Values from the calculation:
Magnetic moment in μB per atom: 0.000
Space group: No. 156
Energy above the most stable polymorph in this dataset in eV per atom: 0.0000

The structure in POSCAR format:
```
TcGeRu
1.0
4.2403 0.0000 0.0000
-2.1201 3.6722 0.0000
0.0000 0.0000 2.7845
Tc Ge Ru
1 1 1
Direct
0.0000 0.0000 0.0000
0.3333 0.6667 0.5014
0.6667 0.3333 0.4995
```

The following is a DFT calculation (PBE) of crystalline LaCu2Ir at its relaxed geometry.

Values from the calculation:
Magnetic moment in μB per atom: 0.000
Space group: No. 99
Energy above the most stable polymorph in this dataset in eV per atom: 0.2348

The structure in POSCAR format:
```
LaCu2Ir
1.0
3.2953 0.0000 0.0000
0.0000 3.2953 0.0000
0.0000 0.0000 6.6257
La Cu Ir
1 2 1
Direct
0.0000 0.0000 0.0000
0.0000 0.0000 0.5056
0.5000 0.5000 0.3372
0.5000 0.5000 0.7207
```

The following is a DFT calculation (PBE) of crystalline VCrCo2 at its relaxed geometry.

Values from the calculation:
E_tot in Ha/atom: -0.28691
Magnetic moment in μB per atom: 0.000
Space group: No. 122

The structure in POSCAR format:
```
VCrCo2
1.0
6.2993 0.0000 0.0000
0.0000 6.2993 0.0000
0.0000 0.0000 4.8976
V Cr Co
4 4 8
Direct
0.0000 0.0000 0.0000
0.0000 0.5000 0.2500
0.5000 0.0000 0.7500
0.5000 0.5000 0.5000
0.0000 0.0000 0.5000
0.0000 0.5000 0.7500
0.5000 0.0000 0.2500
0.5000 0.5000 0.0000
0.2358 0.2500 0.6250
0.2500 0.7358 0.8750
0.2500 0.7642 0.3750
0.2642 0.2500 0.1250
0.7358 0.7500 0.1250
0.7500 0.2358 0.3750
0.7500 0.2642 0.8750
0.7642 0.7500 0.6250
```

The following is a DFT calculation (PBE) of crystalline NaAs2SCl at its relaxed geometry.

Values from the calculation:
Magnetic moment in μB per atom: 0.000
Formation energy without anion corrections in eV per formula unit: 3.38
Space group: No. 123

The structure in POSCAR format:
```
NaAs2SCl
1.0
4.9798 0.0000 0.0000
0.0000 4.9798 0.0000
0.0000 0.0000 4.9775
Na As S Cl
1 2 1 1
Direct
0.0000 0.0000 0.0000
0.0000 0.5000 0.5000
0.5000 0.0000 0.5000
0.5000 0.5000 0.0000
0.5000 0.5000 0.5000
```

The following is a DFT calculation (PBE) of crystalline KTlIr2 at its relaxed geometry.

Values from the calculation:
Magnetic moment in μB per atom: 0.073
Space group: No. 47
Energy above the most stable polymorph in this dataset in eV per atom: 0.6244

The structure in POSCAR format:
```
KTlIr2
1.0
2.9282 0.0000 0.0000
0.0000 5.1250 0.0000
0.0000 0.0000 5.2295
K Tl Ir
1 1 2
Direct
0.0000 0.0000 0.0000
0.5000 0.5000 0.0000
0.0000 0.5000 0.5000
0.5000 0.0000 0.5000
```

The following is a DFT calculation (PBE) of crystalline ErMgSn at its relaxed geometry.

Values from the calculation:
E_tot in Ha/atom: -0.14463
Magnetic moment in μB per atom: 0.000
Space group: No. 139

The structure in POSCAR format:
```
ErMgSn
1.0
4.3720 0.0000 0.0000
0.0000 4.3720 0.0000
0.0000 0.0000 15.8315
Er Mg Sn
4 4 4
Direct
0.0000 0.0000 0.1672
0.0000 0.0000 0.8328
0.5000 0.5000 0.3328
0.5000 0.5000 0.6672
0.0000 0.5000 0.0000
0.0000 0.5000 0.5000
0.5000 0.0000 0.0000
0.5000 0.0000 0.5000
0.0000 0.0000 0.3632
0.0000 0.0000 0.6368
0.5000 0.5000 0.1368
0.5000 0.5000 0.8632
```

The following is a DFT calculation (PBE) of crystalline La2Tl5Br12 at its relaxed geometry.

Values from the calculation:
Magnetic moment in μB per atom: 0.000
Formation energy without anion corrections in eV per formula unit: -23.80
Space group: No. 12

The structure in POSCAR format:
```
La2Tl5Br12
1.0
8.9694 -4.4306 0.0000
8.9694 4.4306 0.0000
-3.5090 0.0000 9.7757
La Tl Br
2 5 12
Direct
0.2466 0.7534 0.0000
0.7534 0.2466 0.0000
0.1859 0.1859 0.8057
0.2229 0.2229 0.3778
0.5000 0.5000 0.5000
0.7771 0.7771 0.6222
0.8141 0.8141 0.1943
0.0056 0.0056 0.2003
0.0587 0.6009 0.9081
0.1356 0.6057 0.4413
0.3943 0.8644 0.5587
0.3991 0.9413 0.0919
0.5003 0.5003 0.1883
0.4997 0.4997 0.8117
0.6009 0.0587 0.9081
0.6057 0.1356 0.4413
0.8644 0.3943 0.5587
0.9413 0.3991 0.0919
0.9944 0.9944 0.7997
```

The following is a DFT calculation (PBE) of crystalline TmPaHg2O8 at its relaxed geometry.

Values from the calculation:
Magnetic moment in μB per atom: 0.000
Formation energy without anion corrections in eV per formula unit: -18.54
Space group: No. 119

The structure in POSCAR format:
```
TmPaHg2O8
1.0
-3.6063 3.6063 3.6143
3.6063 -3.6063 3.6143
3.6063 3.6063 -3.6143
Tm Pa Hg O
1 1 2 8
Direct
0.0000 0.0000 0.0000
0.7500 0.2500 0.5000
0.2500 0.7500 0.5000
0.5000 0.5000 0.0000
0.0086 0.3293 0.3207
0.0086 0.6879 0.6793
0.0736 0.2583 0.8153
0.3121 0.9914 0.3207
0.4430 0.2583 0.1847
0.6707 0.9914 0.6793
0.7417 0.5570 0.8153
0.7417 0.9264 0.1847
```

The following is a DFT calculation (PBE) of crystalline TlSn8Au6 at its relaxed geometry.

Values from the calculation:
E_tot in Ha/atom: -0.13548
Magnetic moment in μB per atom: 0.000
Space group: No. 147

The structure in POSCAR format:
```
TlSn8Au6
1.0
10.2208 0.0000 0.0000
-5.1104 8.8514 0.0000
0.0000 0.0000 4.5277
Tl Sn Au
1 8 6
Direct
0.0000 0.0000 0.0000
0.0143 0.3449 0.2576
0.3305 0.9857 0.2576
0.3333 0.6667 0.7457
0.3449 0.3305 0.7424
0.6551 0.6695 0.2576
0.6667 0.3333 0.2543
0.6695 0.0143 0.7424
0.9857 0.6551 0.7424
0.1480 0.6674 0.2433
0.3326 0.4806 0.2433
0.4806 0.1480 0.7567
0.5194 0.8520 0.2433
0.6674 0.5194 0.7567
0.8520 0.3326 0.7567
```